Record 1
{"formula": "Li6Nd2Hg3", "functional": "GGA-PBE", "state": "optimized geometry", "lattice_angstrom": [[4.0846, 0.0000, 0.0000], [0.0000, 8.4365, 0.0000], [0.0000, -4.2183, 7.3063]], "species": ["Li", "Li", "Li", "Li", "Li", "Li", "Hg", "Hg", "Hg", "Nd", "Nd"], "frac_coords": [[0.0000, 0.0000, 0.8036], [0.5000, 0.0000, 0.2702], [0.5000, 0.7298, 0.7298], [0.5000, 0.2702, 0.0000], [0.0000, 0.8036, 0.0000], [0.0000, 0.1964, 0.1964], [0.5000, 0.4047, 0.4047], [0.5000, 0.0000, 0.5953], [0.5000, 0.5953, 0.0000], [0.0000, 0.6667, 0.3333], [0.0000, 0.3333, 0.6667]], "m_tot_mub_per_fu": 0.0, "dos_ef_per_ev_fu": 9.3, "final_energy_ev_per_cell": -24.43}

Record 2
{"formula": "Li3Nd2Hg4", "functional": "GGA-PBE", "state": "optimized geometry", "lattice_angstrom": [[5.0331, -0.0014, 0.0062], [2.5146, 4.5318, 0.5704], [0.0084, 0.5539, 9.1726]], "species": ["Hg", "Hg", "Hg", "Hg", "Nd", "Nd", "Li", "Li", "Li"], "frac_coords": [[0.0576, 0.8819, 0.3630], [0.6436, 0.7145, 0.8888], [0.3564, 0.2855, 0.1112], [0.9424, 0.1181, 0.6370], [0.7031, 0.5915, 0.2346], [0.2969, 0.4085, 0.7654], [0.3670, 0.2622, 0.4242], [0.0000, 0.0000, 0.0000], [0.6330, 0.7378, 0.5758]], "m_tot_mub_per_fu": 0.0, "de_polymorph_mev_per_atom": 0.0, "dos_ef_per_ev_fu": 3.9, "final_energy_ev_per_cell": -19.91}

Record 3
{"formula": "Li5Nd4Hg6", "functional": "GGA-PBE", "state": "optimized geometry", "lattice_angstrom": [[4.8173, 0.0000, 0.0000], [-2.4086, 11.1056, 0.0000], [0.0000, 0.0000, 13.9584]], "species": ["Li", "Li", "Li", "Li", "Li", "Li", "Li", "Li", "Li", "Li", "Nd", "Nd", "Nd", "Nd", "Nd", "Nd", "Nd", "Nd", "Hg", "Hg", "Hg", "Hg", "Hg", "Hg", "Hg", "Hg", "Hg", "Hg", "Hg", "Hg"], "frac_coords": [[0.6614, 0.3228, 0.4758], [0.6663, 0.3327, 0.1067], [0.8193, 0.6386, 0.1416], [0.5371, 0.0741, 0.1481], [0.6933, 0.3866, 0.7762], [0.3386, 0.6772, 0.9758], [0.4629, 0.9259, 0.6481], [0.1807, 0.3614, 0.6416], [0.3337, 0.6673, 0.6067], [0.3067, 0.6134, 0.2762], [0.1363, 0.2725, 0.2909], [0.8637, 0.7275, 0.7909], [0.9571, 0.9142, 0.2838], [0.1806, 0.3611, 0.9463], [0.0479, 0.0958, 0.5090], [0.0429, 0.0858, 0.7838], [0.8194, 0.6389, 0.4463], [0.9521, 0.9042, 0.0090], [0.4496, 0.8993, 0.8543], [0.5969, 0.1937, 0.6511], [0.7292, 0.4583, 0.2767], [0.5811, 0.1622, 0.9387], [0.0798, 0.1596, 0.0933], [0.5504, 0.1007, 0.3543], [0.2282, 0.4564, 0.4628], [0.9202, 0.8404, 0.5933], [0.4189, 0.8378, 0.4387], [0.7718, 0.5436, 0.9628], [0.2708, 0.5417, 0.7767], [0.4031, 0.8063, 0.1511]], "m_tot_mub_per_fu": 0.0, "dos_ef_per_ev_fu": 11.4, "final_energy_ev_per_cell": -70.53}

Record 4
{"formula": "LiNd2Hg6", "functional": "GGA-PBE", "state": "optimized geometry", "lattice_angstrom": [[4.4076, 0.0000, 0.8050], [0.0000, 7.5114, -0.0001], [-1.2107, -3.7557, 6.6288]], "species": ["Hg", "Hg", "Hg", "Hg", "Hg", "Hg", "Li", "Nd", "Nd"], "frac_coords": [[0.0000, 0.4419, 0.2771], [0.0000, 0.5581, 0.7229], [0.5000, 0.7695, 0.0000], [0.5000, 0.2305, 0.0000], [0.0000, 0.1649, 0.7230], [0.0000, 0.8351, 0.2770], [0.0000, 0.0000, 0.0000], [0.5000, 0.7848, 0.5696], [0.5000, 0.2152, 0.4304]], "m_tot_mub_per_fu": 0.0, "dos_ef_per_ev_fu": 5.9, "final_energy_ev_per_cell": -16.18}